Record 1
First-principles (PBE-GGA) data for La4Te5Se after structural relaxation, as listed in Alexandria.

Cell: 4.571 9.029 10.297 Å, 106.50 102.82 90.00°
Positions (direct):
La 0.324 0.881 0.649
La 0.997 0.749 0.995
La 0.676 0.119 0.351
La 0.003 0.251 0.005
Te 0.837 0.652 0.673
Te 0.838 0.144 0.675
Te 0.162 0.856 0.325
Te 0.500 0.500 0.000
Te 0.163 0.348 0.327
Se 0.500 0.000 0.000

Results
- Density: 5331 kg/m3
- E: -54.40 eV/f.u.
- Size of the total moment: 0.000 μB per formula unit

Record 2
First-principles (PBE-GGA) data for LaTe2Se after structural relaxation, as listed in Alexandria.

Cell: 8.545 8.545 8.545 Å, 151.75 151.37 40.66°
Positions (direct):
La 0.435 0.435 0.000
Se 0.282 0.782 0.500
Te 0.012 0.012 0.000
Te 0.771 0.271 0.500

Results
- Density: 5562 kg/m3
- E: -18.85 eV/f.u.
- Size of the total moment: 0.000 μB per formula unit

no.,raw formation energy (kJ/mol of atoms)
1,-150
2,-100